Entry from the Alexandria database: a relaxed HoThAl4 crystal (GGA-PBE).

Geometry as extended XYZ:
```
12
Lattice="4.5824 0.0000 0.0000 0.0000 7.2113 0.0000 0.0000 0.0000 7.9605" Properties=species:S:1:pos:R:3 pbc="T T T"
Ho 0.0000 0.0000 0.0000
Ho 2.2912 3.6056 3.9802
Th 0.0000 3.6056 0.0000
Th 2.2912 0.0000 3.9802
Al 0.0000 1.8372 2.6574
Al 0.0000 1.8372 5.3031
Al 0.0000 5.3740 2.6574
Al 0.0000 5.3740 5.3031
Al 2.2912 1.7684 1.3229
Al 2.2912 1.7684 6.6376
Al 2.2912 5.4429 1.3229
Al 2.2912 5.4429 6.6376
```

Results
VASP energy ... -59.23 eV for the cell shown
Energy of formation from the pure elements ... -441 meV/atom